# Y2ScTlB | the Alexandria database | PBE-GGA | optimized geometry
data_Y2ScTlB
_cell_length_a 5.084
_cell_length_b 5.084
_cell_length_c 4.680
_cell_angle_alpha 90.00
_cell_angle_beta 90.00
_cell_angle_gamma 90.00
_space_group_name_H-M_alt 'P 1'
_space_group_IT_number 1
loop_
_space_group_symop_operation_xyz
'x,y,z'
loop_
_atom_site_label
_atom_site_type_symbol
_atom_site_fract_x
_atom_site_fract_y
_atom_site_fract_z
Y1 Y 0.000 0.500 0.000
Y2 Y 0.500 0.000 0.000
Sc1 Sc 0.000 0.000 0.500
Tl1 Tl 0.500 0.500 0.500
B1 B 0.000 0.000 0.000
# SG ... P4/mmm (123)

# Sc2TlZnB | the Alexandria database | PBE-GGA | optimized geometry
data_Sc2TlZnB
_cell_length_a 4.749
_cell_length_b 4.749
_cell_length_c 4.153
_cell_angle_alpha 90.00
_cell_angle_beta 90.00
_cell_angle_gamma 90.00
_space_group_name_H-M_alt 'P 1'
_space_group_IT_number 1
loop_
_space_group_symop_operation_xyz
'x,y,z'
loop_
_atom_site_label
_atom_site_type_symbol
_atom_site_fract_x
_atom_site_fract_y
_atom_site_fract_z
Sc1 Sc 0.000 0.500 0.000
Sc2 Sc 0.500 0.000 0.000
Tl1 Tl 0.000 0.000 0.500
Zn1 Zn 0.500 0.500 0.500
B1 B 0.500 0.500 0.000
# SG ... P4/mmm (123)

# Zr2ScTlB | the Alexandria database | PBE-GGA | optimized geometry
data_Zr2ScTlB
_cell_length_a 4.688
_cell_length_b 4.688
_cell_length_c 4.646
_cell_angle_alpha 90.00
_cell_angle_beta 90.00
_cell_angle_gamma 90.00
_space_group_name_H-M_alt 'P 1'
_space_group_IT_number 1
loop_
_space_group_symop_operation_xyz
'x,y,z'
loop_
_atom_site_label
_atom_site_type_symbol
_atom_site_fract_x
_atom_site_fract_y
_atom_site_fract_z
Zr1 Zr 0.000 0.500 0.000
Zr2 Zr 0.500 0.000 0.000
Sc1 Sc 0.000 0.000 0.500
Tl1 Tl 0.500 0.500 0.500
B1 B 0.000 0.000 0.000
# Excess energy over the best structure of this formula in the dataset ... 0 meV/atom
# SG ... P4/mmm (123)

# Zr2ScTlB | the Alexandria database | PBE-GGA | optimized geometry
data_Zr2ScTlB
_cell_length_a 5.328
_cell_length_b 5.328
_cell_length_c 5.194
_cell_angle_alpha 90.00
_cell_angle_beta 90.00
_cell_angle_gamma 90.00
_space_group_name_H-M_alt 'P 1'
_space_group_IT_number 1
loop_
_space_group_symop_operation_xyz
'x,y,z'
loop_
_atom_site_label
_atom_site_type_symbol
_atom_site_fract_x
_atom_site_fract_y
_atom_site_fract_z
Zr1 Zr 0.000 0.500 0.000
Zr2 Zr 0.500 0.000 0.000
Sc1 Sc 0.000 0.000 0.500
Tl1 Tl 0.000 0.000 0.000
B1 B 0.500 0.500 0.500
# Excess energy over the best structure of this formula in the dataset ... 2129 meV/atom
# SG ... P4/mmm (123)

# Tm2ScB6 | the Alexandria database | PBE-GGA | optimized geometry
data_Tm2ScB6
_cell_length_a 5.575
_cell_length_b 5.575
_cell_length_c 3.709
_cell_angle_alpha 90.00
_cell_angle_beta 90.00
_cell_angle_gamma 120.00
_space_group_name_H-M_alt 'P 1'
_space_group_IT_number 1
loop_
_space_group_symop_operation_xyz
'x,y,z'
loop_
_atom_site_label
_atom_site_type_symbol
_atom_site_fract_x
_atom_site_fract_y
_atom_site_fract_z
Tm1 Tm 0.333 0.667 0.000
Tm2 Tm 0.667 0.333 0.000
Sc1 Sc 0.000 0.000 0.000
B1 B 0.000 0.328 0.500
B2 B 0.000 0.672 0.500
B3 B 0.328 0.000 0.500
B4 B 0.328 0.328 0.500
B5 B 0.672 0.000 0.500
B6 B 0.672 0.672 0.500
# SG ... P6/mmm (191)

# TmSc2B6 | the Alexandria database | PBE-GGA | optimized geometry
data_TmSc2B6
_cell_length_a 5.870
_cell_length_b 5.870
_cell_length_c 5.870
_cell_angle_alpha 146.92
_cell_angle_beta 100.31
_cell_angle_gamma 89.03
_space_group_name_H-M_alt 'P 1'
_space_group_IT_number 1
loop_
_space_group_symop_operation_xyz
'x,y,z'
loop_
_atom_site_label
_atom_site_type_symbol
_atom_site_fract_x
_atom_site_fract_y
_atom_site_fract_z
Tm1 Tm 0.000 0.000 0.000
Sc1 Sc 0.332 0.832 0.500
Sc2 Sc 0.668 0.168 0.500
B1 B 0.074 0.307 0.767
B2 B 0.378 0.500 0.878
B3 B 0.460 0.693 0.767
B4 B 0.540 0.307 0.233
B5 B 0.622 0.500 0.122
B6 B 0.926 0.693 0.233
# Excess energy over the best structure of this formula in the dataset ... 451 meV/atom
# SG ... Immm (71)

Number 1: energy of formation -290.8 meV/atom. Number 2: energy of formation -204.5 meV/atom. Number 3: energy of formation -352.2 meV/atom. Number 4: energy of formation 1776.7 meV/atom. Number 5: energy of formation -704.0 meV/atom. Number 6: energy of formation -311.5 meV/atom.